Record 1
The following is a GGA-PBE calculation of a relaxed CaYAgPt crystal, from the Alexandria database.

Output
Electronic total energy ... -20.14 eV/f.u.
Volume ... 22.6 A^3/atom

a = 5.0372 Å, b = 5.0372 Å, c = 5.0372 Å
α = 60.00°, β = 60.00°, γ = 60.00°
Closest atoms and distances in Å follow each position.
Element x y z (fractional)
Ca 0.0000 0.0000 0.0000  4 Ag 3.08, 4 Pt 3.08
Ag 0.2500 0.2500 0.2500  4 Ca 3.08, 4 Y 3.08
Pt 0.7500 0.7500 0.7500  4 Y 3.08, 4 Ca 3.08
Y 0.5000 0.5000 0.5000  4 Pt 3.08, 4 Ag 3.08

Record 2
The following is a GGA-PBE calculation of a relaxed K3YTm2O6 crystal, from the Alexandria database.

Output
Raw formation energy ... -2794.7 meV per atom
Volume ... 16.1 A^3/atom

a = 5.9660 Å, b = 5.9660 Å, c = 6.5576 Å
α = 98.72°, β = 98.72°, γ = 120.00°
Closest atoms and distances in Å follow each position.
Element x y z (fractional)
O 0.6006 0.9387 0.8161  2 Tm 2.28, 1 Y 2.32
O 0.3994 0.0613 0.1839  2 Tm 2.28, 1 Y 2.32
O 0.2768 0.2768 0.8160  2 Tm 2.28, 1 Y 2.32
O 0.7232 0.7232 0.1840  2 Tm 2.28, 1 Y 2.32
O 0.9387 0.6006 0.8161  2 Tm 2.28, 1 Y 2.32
O 0.0613 0.3994 0.1839  2 Tm 2.28, 1 Y 2.32
K 0.1671 0.8329 0.5000  6 O 2.78-2.82
K 0.5000 0.5000 0.5000  6 O 2.78-2.81
K 0.8329 0.1671 0.5000  6 O 2.78-2.82
Tm 0.6666 0.3334 0.0000  6 O 2.28
Tm 0.3334 0.6666 0.0000  6 O 2.28
Y 0.0000 0.0000 0.0000  6 O 2.32